First-principles (PBE-GGA) data for a relaxed Mn2TeCl crystal, as listed in Alexandria via LeMat-Bulk.

* Fermi-level density of states: 0.908 states/eV per atom
* energy above the lowest structure with this stoichiometry: 665 meV per atom

Cell lengths 4.936, 4.936, 4.936 Å; angles 60.00, 60.00, 60.00 degrees
Element x y z (fractional)
Mn (0.000, 0.000, 0.000)
Mn (0.250, 0.250, 0.250)
Te (0.500, 0.500, 0.500)
Cl (0.750, 0.750, 0.750)